RbSn2Au2 | Alexandria | meta-GGA SCAN | single point on PBEsol structure; SG = I4/mmm (139); uncorrected energy = -46.48 eV per atom; energy relative to the elements = -305.8 meV per atom; size of the total moment = 0.00 μB/cell; crystal system = tetragonal
1.0
4.829 0.000 0.000
0.000 4.829 0.000
0.000 0.000 11.212
Rb Sn Au
2 4 4
Direct
0.000 0.000 0.000
0.500 0.500 0.500
0.000 0.500 0.250
0.000 0.500 0.750
0.500 0.000 0.250
0.500 0.000 0.750
0.000 0.000 0.375
0.000 0.000 0.625
0.500 0.500 0.125
0.500 0.500 0.875